## PuBiMoO6 (PBE+U)

Data for crystalline PuBiMoO6 at its relaxed geometry.

It has space group P4_2nm (No. 102), with a = 5.0555 Å, b = 5.0555 Å, c = 10.2293 Å, α = 90.00°, β = 90.00° and γ = 90.00°. The asymmetric unit holds Pu at (0.0000, 0.0000, 0.0000), Bi at (0.0000, 0.0000, 0.6668), Mo at (0.0000, 0.0000, 0.3340), O at (0.1781, 0.1781, 0.1728), O at (0.1986, 0.1986, 0.4840) and O at (0.2144, 0.2144, 0.8440).

The density comes out at 8.2 g/cm3. The density of states at the Fermi level is 14.3 states/eV per cell. The calculation puts the total energy at -145.3 eV/cell. For the total moment, the calculation gives 5.0 μB per formula unit.